(1)
Pa2Al5ZnFe2: relaxed, PBE.

Geometry as POSCAR:
```
Pa2Al5ZnFe2
1.0
-1.094 -1.621 -3.770
5.819 -6.680 1.184
-6.381 -4.860 3.942
Al Pa Fe Zn
10 4 4 2
Cartesian
0.794 -7.700 0.689
0.298 -2.522 -1.394
-1.954 -10.638 2.750
-3.738 -3.241 0.086
0.170 -5.144 -0.230
-2.450 -5.461 0.667
2.362 -4.150 -1.293
-5.221 -5.047 1.293
3.565 -8.113 0.062
-1.826 -8.017 1.585
-0.981 -2.760 1.471
-3.370 -6.110 3.605
2.808 -5.430 1.520
0.418 -8.780 3.654
-3.258 -3.814 2.586
1.446 -3.122 0.923
-2.008 -8.418 4.203
2.696 -7.725 2.540
0.000 0.000 0.000
-0.281 -5.770 2.563
```

Properties
- uncorrected energy (eV/atom) = -5.942
- SG = No. 127

(2)
PaAlZnFe: relaxed, PBE.

Geometry as POSCAR:
```
PaAlZnFe
1.0
4.592 0.000 0.000
2.296 3.977 0.000
2.296 1.326 3.750
Al Zn Fe Pa
1 1 1 1
Cartesian
2.296 1.326 0.937
0.000 0.000 0.000
4.592 2.651 1.875
6.888 3.977 2.812
```

Properties
- uncorrected energy (eV/atom) = -5.798
- SG = No. 216

(3)
AlFe4Pb: relaxed, PBE.

Geometry as POSCAR:
```
AlFe4Pb
1.0
0.000 3.500 3.500
3.500 0.000 3.500
3.500 3.500 0.000
Fe Pb Al
4 1 1
Cartesian
2.617 4.383 2.617
4.383 4.383 4.383
2.617 2.617 4.383
4.383 2.617 2.617
1.750 1.750 1.750
0.000 0.000 0.000
```

Properties
- uncorrected energy (eV/atom) = -6.684
- SG = No. 216

(4)
Al2FePb: relaxed, PBE.

Geometry as POSCAR:
```
Al2FePb
1.0
4.740 0.000 0.000
2.370 4.105 0.000
2.370 1.368 3.870
Al Fe Pb
2 1 1
Cartesian
0.000 0.000 0.000
2.370 1.368 0.968
4.740 2.737 1.935
7.110 4.105 2.903
```

Properties
- uncorrected energy (eV/atom) = -4.376
- SG = No. 216

(5)
Al2FePb: relaxed, PBE.

Geometry as POSCAR:
```
Al2FePb
1.0
4.088 0.000 0.000
0.000 3.508 0.013
0.000 1.676 5.137
Fe Al Pb
1 2 1
Cartesian
0.000 1.938 2.459
2.044 1.946 1.175
0.000 0.198 0.547
2.044 3.695 3.544
```

Properties
- uncorrected energy (eV/atom) = -4.666
- SG = No. 6

(6)
Al3FePb: relaxed, PBE.

Geometry as POSCAR:
```
Al3FePb
1.0
4.638 0.000 0.000
0.000 4.638 0.000
0.000 0.000 4.638
Pb Fe Al
1 1 3
Cartesian
2.319 2.319 2.319
0.000 0.000 0.000
0.000 2.319 0.000
0.000 0.000 2.319
2.319 0.000 0.000
```

Properties
- uncorrected energy (eV/atom) = -4.550
- energy above the most stable polymorph in this dataset (eV/atom) = 0.000
- SG = No. 221

(7)
Al2FePb: relaxed, PBE.

Geometry as POSCAR:
```
Al2FePb
1.0
5.887 0.002 -0.010
-3.095 5.009 -0.010
0.888 1.593 2.545
Pb Fe Al
1 1 2
Cartesian
-1.103 3.301 1.268
3.388 0.798 1.268
0.000 0.000 0.000
1.396 2.506 -0.010
```

Properties
- uncorrected energy (eV/atom) = -4.475
- SG = No. 12

(8)
Al2FePb: relaxed, PBE.

Geometry as POSCAR:
```
Al2FePb
1.0
9.255 0.055 0.032
8.724 3.091 0.032
8.724 1.526 2.688
Al Fe Pb
2 1 1
Cartesian
26.145 4.574 2.694
13.909 2.433 1.433
6.676 1.168 0.688
20.027 3.503 2.064
```

Properties
- uncorrected energy (eV/atom) = -4.703
- SG = No. 166

(9)
Al2FePb: relaxed, PBE.

Geometry as POSCAR:
```
Al2FePb
1.0
4.367 0.000 0.000
0.000 3.393 -0.048
0.000 1.743 5.030
Al Fe Pb
2 1 1
Cartesian
0.000 2.105 2.301
0.000 0.463 0.190
2.184 1.284 1.246
2.184 3.852 3.737
```

Properties
- uncorrected energy (eV/atom) = -4.585
- SG = No. 10

(10)
Al2FePb: relaxed, PBE.

Geometry as POSCAR:
```
Al2FePb
1.0
5.155 0.001 0.000
1.811 4.827 0.000
-3.483 -2.414 2.936
Al Fe Pb
2 1 1
Cartesian
0.000 0.000 0.000
0.906 2.413 1.468
3.483 2.414 0.000
2.578 0.000 1.468
```

Properties
- uncorrected energy (eV/atom) = -4.505
- SG = No. 119

(11)
AlFePb: relaxed, PBE.

Geometry as POSCAR:
```
AlFePb
1.0
6.614 0.059 -0.062
5.866 3.057 -0.063
0.749 0.187 2.993
Fe Al Pb
1 1 1
Cartesian
4.948 1.235 1.876
11.858 2.960 0.040
8.903 2.223 0.826
```

Properties
- uncorrected energy (eV/atom) = -4.990
- energy above the most stable polymorph in this dataset (eV/atom) = 0.000
- SG = No. 107

(12)
Al2FePb: relaxed, PBE.

Geometry as POSCAR:
```
Al2FePb
1.0
5.460 0.022 -0.004
2.238 4.981 0.004
-3.228 -3.457 2.728
Al Fe Pb
2 1 1
Cartesian
7.588 4.931 0.000
2.852 -0.590 1.362
4.011 2.607 0.000
1.568 2.102 1.366
```

Properties
- uncorrected energy (eV/atom) = -4.529
- SG = No. 44

Repeat the eleventh record exactly.
AlFePb: relaxed, PBE.

Geometry as POSCAR:
```
AlFePb
1.0
6.614 0.059 -0.062
5.866 3.057 -0.063
0.749 0.187 2.993
Fe Al Pb
1 1 1
Cartesian
4.948 1.235 1.876
11.858 2.960 0.040
8.903 2.223 0.826
```

Properties
- uncorrected energy (eV/atom) = -4.990
- energy above the most stable polymorph in this dataset (eV/atom) = 0.000
- SG = No. 107

Which formula does entry 7 have?
Al2FePb

What is the uncorrected energy in the fourth record?
-4.376 eV/atom

Which of these has the lowest uncorrected energy?
AlFe4Pb